Record 1
Here is an optimized crystal structure of Li2HfInGa from the Alexandria database. Energies are from PBE.

```
Li2HfInGa
1.0
5.4478 0.0000 0.0000
0.0000 5.5695 0.0000
0.0000 0.0000 5.4478
In Li Ga Hf
1 2 1 1
Cartesian
0.0000 2.7848 0.0000
2.7239 0.0000 0.0000
0.0000 0.0000 2.7239
2.7239 2.7848 2.7239
0.0000 0.0000 0.0000
```

For the calculated density, the calculation gives 3.786 Mg/m³. The value obtained for the energy of formation from the pure elements is 1.10 eV/atom.

Record 2
Here is an optimized crystal structure of HfIn2GaOs from the Alexandria database. Energies are from PBE.

```
HfIn2GaOs
1.0
5.4506 0.0000 0.0000
0.0000 5.0577 0.0000
0.0000 0.0000 5.4506
In Hf Os Ga
2 1 1 1
Cartesian
2.7253 0.0000 0.0000
0.0000 0.0000 2.7253
0.0000 0.0000 0.0000
2.7253 2.5288 2.7253
0.0000 2.5288 0.0000
```

For the calculated density, the calculation gives 7.383 Mg/m³. The value obtained for the energy of formation from the pure elements is 1.77 eV/atom.

Record 3
Here is an optimized crystal structure of HfScInGa from the Alexandria database. Energies are from PBE.

```
HfScInGa
1.0
4.8858 0.0000 0.0000
2.4429 4.2312 0.0000
2.4429 1.4104 3.9892
Hf In Sc Ga
1 1 1 1
Cartesian
0.0000 0.0000 0.0000
7.3287 4.2312 2.9919
4.8858 2.8208 1.9946
2.4429 1.4104 0.9973
```

For the calculated density, the calculation gives 8.215 Mg/m³. The value obtained for the energy of formation from the pure elements is -0.26 eV/atom. For the energy above the most stable polymorph in this dataset, the calculation gives 0.141 eV/atom.

Record 4
Here is an optimized crystal structure of HfScInGa from the Alexandria database. Energies are from PBE.

```
HfScInGa
1.0
3.0751 0.0000 0.0000
0.0000 3.0751 0.0000
0.0000 0.0000 8.5918
In Ga Hf Sc
1 1 1 1
Cartesian
0.0000 0.0000 0.6213
0.0000 0.0000 4.9056
1.5376 1.5376 2.9613
1.5376 1.5376 6.8455
```

For the calculated density, the calculation gives 8.338 Mg/m³. The value obtained for the energy of formation from the pure elements is -0.40 eV/atom. For the energy above the most stable polymorph in this dataset, the calculation gives 0.000 eV/atom.

Record 5
Here is an optimized crystal structure of Hf2InGaSe from the Alexandria database. Energies are from PBE.

```
Hf2InGaSe
1.0
-1.3157 4.0186 2.5680
-5.0833 -1.3326 -0.5191
0.2530 -2.6013 4.2004
Hf In Ga Se
2 1 1 1
Cartesian
-0.6579 2.0093 1.2840
0.1265 -1.3007 2.1002
-2.5417 -0.6663 -0.2596
-3.0730 0.0423 3.1246
0.0000 0.0000 0.0000
```

For the calculated density, the calculation gives 7.972 Mg/m³. As for the energy relative to the elements, uncorrected: 0.46 eV per atom.

Record 6
Here is an optimized crystal structure of HfIn2GaTc from the Alexandria database. Energies are from PBE.

```
HfIn2GaTc
1.0
5.4460 0.0000 0.0000
0.0000 5.1085 0.0000
0.0000 0.0000 5.4460
Hf Tc In Ga
1 1 2 1
Cartesian
0.0000 0.0000 0.0000
2.7230 2.5542 2.7230
2.7230 0.0000 0.0000
0.0000 0.0000 2.7230
0.0000 2.5542 0.0000
```

For the calculated density, the calculation gives 6.311 Mg/m³. The value obtained for the energy of formation from the pure elements is 1.36 eV/atom.

Record 7
Here is an optimized crystal structure of Y2HfInGa from the Alexandria database. Energies are from PBE.

```
Y2HfInGa
1.0
6.0785 0.0000 0.0000
0.0000 6.0785 0.0000
0.0000 0.0000 5.2436
Hf Ga In Y
1 1 1 2
Cartesian
3.0392 3.0392 2.6218
0.0000 0.0000 2.6218
0.0000 0.0000 0.0000
3.0392 0.0000 0.0000
0.0000 3.0392 0.0000
```

For the calculated density, the calculation gives 4.636 Mg/m³. The value obtained for the energy of formation from the pure elements is 0.93 eV/atom.

Record 8
Here is an optimized crystal structure of Hf5Ga2Ir from the Alexandria database. Energies are from PBE.

```
Hf5Ga2Ir
1.0
6.2480 0.0000 -2.9494
-1.3923 6.0909 -2.9494
0.0266 0.0334 8.1489
Hf Ir Ga
10 2 4
Cartesian
3.7670 5.9957 -2.8469
2.4279 3.0454 -2.9494
-0.5936 3.1740 4.1005
0.8687 5.0084 -0.8941
2.3047 4.1613 2.1477
1.1153 0.1286 5.0971
4.0136 1.1159 3.1443
0.0000 0.0000 0.0000
2.5777 1.9629 0.1025
5.4760 2.9503 -1.8503
1.2272 1.5394 2.5998
3.6551 4.5848 -0.3496
3.7511 0.7866 -2.2365
1.1046 5.3043 -3.6623
0.2906 2.2588 -1.4747
4.5652 3.8320 -4.4241
```

For the calculated density, the calculation gives 13.058 Mg/m³. The value obtained for the energy of formation from the pure elements is -0.49 eV/atom.

Record 9
Here is an optimized crystal structure of HfGa2Ir2 from the Alexandria database. Energies are from PBE.

```
HfGa2Ir2
1.0
7.3881 0.0000 0.0000
0.0000 7.3881 0.0000
0.0000 0.0000 2.9586
Ga Hf Ir
4 2 4
Cartesian
1.1405 4.8346 1.4793
2.5536 1.1405 1.4793
4.8346 6.2476 1.4793
6.2476 2.5536 1.4793
3.6941 3.6941 0.0000
0.0000 0.0000 0.0000
2.6373 6.3314 0.0000
1.0568 2.6373 0.0000
6.3314 4.7509 0.0000
4.7509 1.0568 0.0000
```

For the calculated density, the calculation gives 14.444 Mg/m³. The value obtained for the energy of formation from the pure elements is -0.47 eV/atom. For the energy above the most stable polymorph in this dataset, the calculation gives 0.078 eV/atom.

Record 10
Here is an optimized crystal structure of Hf3Ga6Ir from the Alexandria database. Energies are from PBE.

```
Hf3Ga6Ir
1.0
7.0746 -0.2987 -0.3054
-0.4521 7.0665 -0.3054
-0.4521 -0.4620 7.0580
Ir Hf Ga
2 6 12
Cartesian
3.0852 3.1529 3.2236
0.0000 0.0000 0.0000
1.8446 5.1210 0.9416
1.0906 5.4078 4.4715
0.7876 1.8622 5.1407
5.3828 4.4436 1.3065
4.3257 1.1847 5.5056
5.0798 0.8980 1.9757
-0.1299 2.4788 0.5183
5.7045 6.4256 3.9576
6.3003 3.8270 5.9289
3.6894 5.7859 6.5118
2.6201 0.6615 3.2900
3.5503 5.6443 3.1572
3.2169 2.6906 0.7343
0.4659 -0.1198 2.4897
5.5659 3.0750 3.7410
2.4810 0.5198 -0.0645
2.9535 3.6152 5.7129
0.6045 3.2308 2.7062
```

For the calculated density, the calculation gives 10.880 Mg/m³. The value obtained for the energy of formation from the pure elements is -0.43 eV/atom.

Record 11
Here is an optimized crystal structure of HfGa2Ir2 from the Alexandria database. Energies are from PBE.

```
HfGa2Ir2
1.0
-0.6251 4.7077 5.7511
-7.3952 -0.9694 -0.0103
0.2827 -2.1757 1.8117
Ga Ir Hf
4 4 2
Cartesian
-5.1595 3.5213 5.0338
-2.8608 0.2170 0.7070
-1.3039 2.8159 3.5852
-6.7164 0.9224 2.1557
-6.3826 1.2894 4.7786
-4.9588 -0.9188 1.9046
-1.3551 0.2733 2.7739
-2.7789 2.4814 5.6479
-4.0101 1.8692 2.8704
0.0000 0.0000 0.0000
```

For the calculated density, the calculation gives 14.737 Mg/m³. The value obtained for the energy of formation from the pure elements is -0.53 eV/atom. For the energy above the most stable polymorph in this dataset, the calculation gives 0.015 eV/atom.

Record 12
Here is an optimized crystal structure of Hf4Ga2Ir from the Alexandria database. Energies are from PBE.

```
Hf4Ga2Ir
1.0
4.9704 0.0000 0.0000
0.0000 4.9704 0.0000
2.4852 2.4852 6.8582
Ga Ir Hf
2 1 4
Cartesian
4.9704 4.9704 5.2353
2.4852 2.4852 1.6228
0.0000 0.0000 0.0000
0.0000 2.4852 0.0000
4.9704 4.9704 2.5529
2.4852 0.0000 0.0000
2.4852 2.4852 4.3052
```

For the calculated density, the calculation gives 10.248 Mg/m³. The value obtained for the energy of formation from the pure elements is 0.20 eV/atom.

Record 13
Here is an optimized crystal structure of Hf4GaIr from the Alexandria database. Energies are from PBE.

```
Hf4GaIr
1.0
-3.7340 -0.9012 -5.4323
0.3726 -6.5898 0.8371
-2.9014 3.8835 5.4243
Hf Ir Ga
8 2 2
Cartesian
-1.7382 -2.3346 0.2609
-4.0547 2.1805 1.1042
-4.5246 -1.2728 0.5681
-2.1223 1.4731 3.9675
-2.5921 -1.9802 3.4314
-2.2080 -5.7879 -0.2752
-4.1405 -5.0805 -3.1384
-3.6706 -1.6272 -2.6023
-3.9717 -3.6764 -0.7343
-2.2910 0.0690 1.5633
0.0000 0.0000 0.0000
-1.6807 -3.7455 -2.2976
```

For the calculated density, the calculation gives 13.195 Mg/m³. The value obtained for the energy of formation from the pure elements is -0.33 eV/atom. For the energy above the most stable polymorph in this dataset, the calculation gives 0.000 eV/atom.

Record 14
Here is an optimized crystal structure of HfGa5Ir6 from the Alexandria database. Energies are from PBE.

```
HfGa5Ir6
1.0
-2.1972 -2.3869 -2.6621
5.7363 -4.1363 2.2819
-4.7249 2.0753 5.3469
Ir Ga Hf
6 5 1
Cartesian
-1.4148 -2.3795 -0.0066
-2.0830 -0.0893 1.7993
1.4725 -2.2004 0.7576
0.8971 -4.3586 3.1674
0.2290 -2.0683 4.9733
-2.6583 -2.2474 4.2091
-4.1310 -0.1231 3.5200
-0.5929 -2.2239 2.4834
-1.2756 0.0272 4.3363
2.9452 -4.3248 1.4467
2.2870 -2.0882 3.2925
0.0000 0.0000 0.0000
```

For the calculated density, the calculation gives 15.652 Mg/m³. The value obtained for the energy of formation from the pure elements is -0.53 eV/atom.

Record 15
Here is an optimized crystal structure of Hf8Ga2Ir from the Alexandria database. Energies are from PBE.

```
Hf8Ga2Ir
1.0
-3.8381 3.0773 -1.4446
1.8393 -3.3526 -6.3136
-3.1914 -4.2641 5.1105
Hf Ir Ga
8 1 2
Cartesian
-0.0901 -1.1915 -1.7461
-5.1001 -3.3480 -0.9016
-3.1626 -0.7912 -1.4558
-1.2725 -1.4057 0.9389
-2.0276 -3.7482 -1.1919
-3.9177 -3.1337 -3.5866
-4.0488 -2.5331 1.9774
-1.1414 -2.0063 -4.6251
-1.9190 1.5386 -0.7223
-1.6692 -3.9883 1.6539
0.3172 -3.6284 -2.8570
```

For the calculated density, the calculation gives 12.762 Mg/m³. The value obtained for the energy of formation from the pure elements is -0.19 eV/atom.

Record 16
Here is an optimized crystal structure of Hf2Ga4Ir from the Alexandria database. Energies are from PBE.

```
Hf2Ga4Ir
1.0
5.5267 -0.0665 -0.0038
-0.0739 5.5266 0.0017
-2.7251 -2.7330 4.1921
Ga Ir Hf
4 1 2
Cartesian
3.8899 3.8950 0.2575
1.5610 1.5629 0.2594
4.3198 1.1385 0.3321
1.1329 4.3211 0.3344
2.7284 2.7293 2.4034
-0.0352 2.7621 2.3957
2.7640 -0.0345 2.3929
```

For the calculated density, the calculation gives 10.744 Mg/m³. The value obtained for the energy of formation from the pure elements is -0.38 eV/atom. For the energy above the most stable polymorph in this dataset, the calculation gives 0.000 eV/atom.

Record 17
Here is an optimized crystal structure of Hf6Ga3Ir from the Alexandria database. Energies are from PBE.

```
Hf6Ga3Ir
1.0
5.3612 0.0000 0.0393
0.0000 7.7276 0.0000
0.1065 0.0000 9.8770
Hf Ga Ir
12 6 2
Cartesian
0.8396 0.2574 7.4453
4.9519 5.1618 5.7048
2.0008 4.1212 7.3899
0.5159 2.5657 4.2115
4.6282 7.4702 2.4711
2.2180 6.4295 0.7466
2.2516 6.3574 4.2230
4.9855 5.2339 9.1811
3.2497 1.2980 9.1697
3.2162 1.3701 5.6934
0.4823 2.4936 0.7352
3.4669 3.6064 2.5265
3.3321 6.7473 7.3644
2.1357 0.9803 2.5519
0.5982 4.8441 2.4063
2.6806 3.8638 0.0197
0.0532 0.0000 4.9385
4.8696 2.8835 7.5101
0.0000 0.0000 0.0000
2.7339 3.8638 4.9582
```

For the calculated density, the calculation gives 11.950 Mg/m³. The value obtained for the energy of formation from the pure elements is -0.31 eV/atom.

Record 18
Here is an optimized crystal structure of Hf2GaIr from the Alexandria database. Energies are from PBE.

```
Hf2GaIr
1.0
-4.3081 -2.0285 -3.1620
4.0874 0.5665 -3.9554
1.4835 -3.4612 4.3772
Hf Ga Ir
4 2 2
Cartesian
-0.1603 -1.0620 -5.1704
-1.4675 -3.1103 -1.1717
-0.0604 -0.3999 -1.9470
2.7302 -1.8129 -1.5684
0.6173 -1.8848 0.3680
0.6454 -3.0384 -3.1082
2.0922 -0.0502 -3.7668
-2.3130 -1.4118 -3.3505
```

For the calculated density, the calculation gives 14.286 Mg/m³. The value obtained for the energy of formation from the pure elements is -0.63 eV/atom.

Record 19
Here is an optimized crystal structure of Hf8GaIr2 from the Alexandria database. Energies are from PBE.

```
Hf8GaIr2
1.0
-3.0342 2.7537 3.2672
4.9905 -3.0010 4.6046
2.4876 5.2237 -4.6518
Ga Ir Hf
1 2 8
Cartesian
-1.5171 1.3768 1.6336
3.2144 2.8353 -1.9638
4.2637 -0.6127 1.9167
0.8987 2.7427 2.1940
3.3022 3.3972 4.1387
1.1416 1.5792 -0.9187
3.5452 2.2337 1.0261
1.5643 4.6491 -0.8220
2.8796 0.3272 4.0420
2.7177 5.3179 1.9771
1.7261 -0.3415 1.2430
```

For the calculated density, the calculation gives 13.262 Mg/m³. The value obtained for the energy of formation from the pure elements is -0.29 eV/atom.

Record 20
Here is an optimized crystal structure of Hf3GaIr from the Alexandria database. Energies are from PBE.

```
Hf3GaIr
1.0
-1.1539 -6.8004 4.2636
-1.8940 -5.4652 -4.5784
6.2093 -3.9827 -0.0207
Hf Ga Ir
12 4 4
Cartesian
-1.8041 -8.6099 -0.6346
4.3087 -4.1969 0.3473
-1.5441 -8.2628 2.4559
1.7932 -12.3712 0.9158
-1.1473 -12.0515 -0.6828
1.6475 -11.8397 -2.0551
1.5139 -4.4087 1.7196
0.8579 -7.2652 0.9179
4.7055 -7.9856 -2.7914
1.3682 -3.8772 -1.2514
2.3035 -8.9832 -1.2534
4.9655 -7.6385 0.2990
0.8549 -7.4266 -3.2352
3.7206 -10.1969 0.8329
-0.5592 -6.0514 -1.1685
2.3065 -8.8218 2.8996
4.9055 -9.1633 2.9304
0.3194 -10.0023 0.3510
-1.7441 -7.0851 -3.2660
2.8420 -6.2461 -0.6865
```

For the calculated density, the calculation gives 13.534 Mg/m³. The value obtained for the energy of formation from the pure elements is -0.36 eV/atom. For the energy above the most stable polymorph in this dataset, the calculation gives 0.000 eV/atom.